Density functional theory data (PBE-GGA) for an optimized crystal structure of YBe2Al.

Calculated formation energy   0.190 eV/atom
Symmetry   F-43m (216)

```
data_YBe2Al
_chemical_formula_sum 'Y1 Be2 Al1'
_cell_length_a 4.466
_cell_length_b 4.466
_cell_length_c 4.466
_cell_angle_alpha 60.00
_cell_angle_beta 60.00
_cell_angle_gamma 60.00
_symmetry_space_group_name_H-M 'P 1'
_symmetry_Int_Tables_number 1
loop_
_symmetry_equiv_pos_as_xyz
'x,y,z'
loop_
_atom_site_label
_atom_site_fract_x
_atom_site_fract_y
_atom_site_fract_z
Y1 0.000 0.000 0.000
Be1 0.250 0.250 0.250
Be2 0.500 0.500 0.500
Al1 0.750 0.750 0.750
```

=====

Density functional theory data (PBE-GGA) for an optimized crystal structure of YBeAl.

Calculated formation energy   -0.268 eV/atom
Symmetry   C2/m (12)
ΔE to the lowest computed polymorph   9 meV per atom

```
data_YBeAl
_chemical_formula_sum 'Y2 Be2 Al2'
_cell_length_a 5.476
_cell_length_b 5.476
_cell_length_c 7.056
_cell_angle_alpha 128.43
_cell_angle_beta 128.43
_cell_angle_gamma 45.53
_symmetry_space_group_name_H-M 'P 1'
_symmetry_Int_Tables_number 1
loop_
_symmetry_equiv_pos_as_xyz
'x,y,z'
loop_
_atom_site_label
_atom_site_fract_x
_atom_site_fract_y
_atom_site_fract_z
Y1 0.048 0.048 0.305
Y2 0.952 0.952 0.695
Be1 0.348 0.348 0.299
Be2 0.652 0.652 0.701
Al1 0.327 0.327 0.896
Al2 0.673 0.673 0.104
```

=====

Density functional theory data (PBE-GGA) for an optimized crystal structure of Y2BeAl.

Calculated formation energy   0.016 eV/atom
Symmetry   P4mm (99)
ΔE to the lowest computed polymorph   199 meV per atom

```
data_Y2BeAl
_chemical_formula_sum 'Y2 Be1 Al1'
_cell_length_a 3.251
_cell_length_b 3.251
_cell_length_c 8.251
_cell_angle_alpha 90.00
_cell_angle_beta 90.00
_cell_angle_gamma 90.00
_symmetry_space_group_name_H-M 'P 1'
_symmetry_Int_Tables_number 1
loop_
_symmetry_equiv_pos_as_xyz
'x,y,z'
loop_
_atom_site_label
_atom_site_fract_x
_atom_site_fract_y
_atom_site_fract_z
Y1 0.000 0.000 0.000
Y2 0.500 0.500 0.346
Be1 0.500 0.500 0.760
Al1 0.000 0.000 0.616
```

=====

Density functional theory data (PBE-GGA) for an optimized crystal structure of YBeAl3.

Calculated formation energy   0.096 eV/atom
Symmetry   Pm-3m (221)
ΔE to the lowest computed polymorph   413 meV per atom

```
data_YBeAl3
_chemical_formula_sum 'Y1 Be1 Al3'
_cell_length_a 4.538
_cell_length_b 4.538
_cell_length_c 4.538
_cell_angle_alpha 90.00
_cell_angle_beta 90.00
_cell_angle_gamma 90.00
_symmetry_space_group_name_H-M 'P 1'
_symmetry_Int_Tables_number 1
loop_
_symmetry_equiv_pos_as_xyz
'x,y,z'
loop_
_atom_site_label
_atom_site_fract_x
_atom_site_fract_y
_atom_site_fract_z
Y1 0.000 0.000 0.000
Be1 0.500 0.500 0.500
Al1 0.000 0.500 0.500
Al2 0.500 0.000 0.500
Al3 0.500 0.500 0.000
```

=====

Density functional theory data (PBE-GGA) for an optimized crystal structure of Y2BeAl2.

Calculated formation energy   -0.228 eV/atom
Symmetry   P4/mbm (127)

```
data_Y2BeAl2
_chemical_formula_sum 'Y4 Be2 Al4'
_cell_length_a 6.721
_cell_length_b 6.721
_cell_length_c 4.744
_cell_angle_alpha 90.00
_cell_angle_beta 90.00
_cell_angle_gamma 90.00
_symmetry_space_group_name_H-M 'P 1'
_symmetry_Int_Tables_number 1
loop_
_symmetry_equiv_pos_as_xyz
'x,y,z'
loop_
_atom_site_label
_atom_site_fract_x
_atom_site_fract_y
_atom_site_fract_z
Y1 0.171 0.329 0.000
Y2 0.329 0.829 0.000
Y3 0.671 0.171 0.000
Y4 0.829 0.671 0.000
Be1 0.000 0.000 0.500
Be2 0.500 0.500 0.500
Al1 0.140 0.640 0.500
Al2 0.360 0.140 0.500
Al3 0.640 0.860 0.500
Al4 0.860 0.360 0.500
```

=====

Density functional theory data (PBE-GGA) for an optimized crystal structure of Y2BeAl.

Calculated formation energy   -0.129 eV/atom
Symmetry   Imm2 (44)
ΔE to the lowest computed polymorph   55 meV per atom

```
data_Y2BeAl
_chemical_formula_sum 'Y2 Be1 Al1'
_cell_length_a 5.962
_cell_length_b 5.962
_cell_length_c 5.962
_cell_angle_alpha 145.80
_cell_angle_beta 132.41
_cell_angle_gamma 59.90
_symmetry_space_group_name_H-M 'P 1'
_symmetry_Int_Tables_number 1
loop_
_symmetry_equiv_pos_as_xyz
'x,y,z'
loop_
_atom_site_label
_atom_site_fract_x
_atom_site_fract_y
_atom_site_fract_z
Y1 0.000 0.000 0.000
Y2 0.721 0.221 0.500
Be1 0.457 0.457 0.000
Al1 0.293 0.793 0.500
```

=====

Density functional theory data (PBE-GGA) for an optimized crystal structure of YBeAl4.

Calculated formation energy   0.093 eV/atom
Symmetry   F-43m (216)

```
data_YBeAl4
_chemical_formula_sum 'Y1 Be1 Al4'
_cell_length_a 5.406
_cell_length_b 5.406
_cell_length_c 5.406
_cell_angle_alpha 60.00
_cell_angle_beta 60.00
_cell_angle_gamma 60.00
_symmetry_space_group_name_H-M 'P 1'
_symmetry_Int_Tables_number 1
loop_
_symmetry_equiv_pos_as_xyz
'x,y,z'
loop_
_atom_site_label
_atom_site_fract_x
_atom_site_fract_y
_atom_site_fract_z
Y1 0.000 0.000 0.000
Be1 0.250 0.250 0.250
Al1 0.126 0.625 0.625
Al2 0.625 0.126 0.625
Al3 0.625 0.625 0.126
Al4 0.625 0.625 0.625
```

=====

Density functional theory data (PBE-GGA) for an optimized crystal structure of YBe2Al.

Calculated formation energy   0.103 eV/atom
Symmetry   P4mm (99)

```
data_YBe2Al
_chemical_formula_sum 'Y1 Be2 Al1'
_cell_length_a 3.019
_cell_length_b 3.019
_cell_length_c 6.860
_cell_angle_alpha 90.00
_cell_angle_beta 90.00
_cell_angle_gamma 90.00
_symmetry_space_group_name_H-M 'P 1'
_symmetry_Int_Tables_number 1
loop_
_symmetry_equiv_pos_as_xyz
'x,y,z'
loop_
_atom_site_label
_atom_site_fract_x
_atom_site_fract_y
_atom_site_fract_z
Y1 0.000 0.000 0.000
Be1 0.000 0.000 0.559
Be2 0.500 0.500 0.701
Al1 0.500 0.500 0.338
```

=====

Density functional theory data (PBE-GGA) for an optimized crystal structure of Y3BeAl.

Calculated formation energy   0.185 eV/atom
Symmetry   Pm-3m (221)
ΔE to the lowest computed polymorph   0 meV per atom

```
data_Y3BeAl
_chemical_formula_sum 'Y3 Be1 Al1'
_cell_length_a 5.149
_cell_length_b 5.149
_cell_length_c 5.149
_cell_angle_alpha 90.00
_cell_angle_beta 90.00
_cell_angle_gamma 90.00
_symmetry_space_group_name_H-M 'P 1'
_symmetry_Int_Tables_number 1
loop_
_symmetry_equiv_pos_as_xyz
'x,y,z'
loop_
_atom_site_label
_atom_site_fract_x
_atom_site_fract_y
_atom_site_fract_z
Y1 0.000 0.000 0.500
Y2 0.000 0.500 0.000
Y3 0.500 0.000 0.000
Be1 0.000 0.000 0.000
Al1 0.500 0.500 0.500
```

=====

Density functional theory data (PBE-GGA) for an optimized crystal structure of YBe2Al.

Calculated formation energy   0.094 eV/atom
Symmetry   I4_1/amd (141)

```
data_YBe2Al
_chemical_formula_sum 'Y2 Be4 Al2'
_cell_length_a 8.441
_cell_length_b 8.441
_cell_length_c 8.441
_cell_angle_alpha 150.45
_cell_angle_beta 150.45
_cell_angle_gamma 42.28
_symmetry_space_group_name_H-M 'P 1'
_symmetry_Int_Tables_number 1
loop_
_symmetry_equiv_pos_as_xyz
'x,y,z'
loop_
_atom_site_label
_atom_site_fract_x
_atom_site_fract_y
_atom_site_fract_z
Y1 0.375 0.625 0.750
Y2 0.625 0.375 0.250
Be1 0.000 0.000 0.000
Be2 0.000 0.000 0.500
Be3 0.000 0.500 0.000
Be4 0.500 0.000 0.500
Al1 0.125 0.875 0.250
Al2 0.875 0.125 0.750
```

=====

Density functional theory data (PBE-GGA) for an optimized crystal structure of Y2BeAlZn.

Calculated formation energy   0.483 eV/atom
Symmetry   P4/mmm (123)

```
data_Y2BeAlZn
_chemical_formula_sum 'Y2 Be1 Al1 Zn1'
_cell_length_a 5.369
_cell_length_b 5.369
_cell_length_c 4.499
_cell_angle_alpha 90.00
_cell_angle_beta 90.00
_cell_angle_gamma 90.00
_symmetry_space_group_name_H-M 'P 1'
_symmetry_Int_Tables_number 1
loop_
_symmetry_equiv_pos_as_xyz
'x,y,z'
loop_
_atom_site_label
_atom_site_fract_x
_atom_site_fract_y
_atom_site_fract_z
Y1 0.000 0.500 0.000
Y2 0.500 0.000 0.000
Be1 0.000 0.000 0.500
Al1 0.500 0.500 0.500
Zn1 0.500 0.500 0.000
```

=====

Density functional theory data (PBE-GGA) for an optimized crystal structure of BeAl2Zn.

Calculated formation energy   0.173 eV/atom
Symmetry   Cmmm (65)
ΔE to the lowest computed polymorph   55 meV per atom

```
data_BeAl2Zn
_chemical_formula_sum 'Be1 Al2 Zn1'
_cell_length_a 4.730
_cell_length_b 4.730
_cell_length_c 2.705
_cell_angle_alpha 90.00
_cell_angle_beta 90.00
_cell_angle_gamma 108.44
_symmetry_space_group_name_H-M 'P 1'
_symmetry_Int_Tables_number 1
loop_
_symmetry_equiv_pos_as_xyz
'x,y,z'
loop_
_atom_site_label
_atom_site_fract_x
_atom_site_fract_y
_atom_site_fract_z
Be1 0.000 0.000 0.000
Al1 0.000 0.500 0.500
Al2 0.500 0.000 0.500
Zn1 0.500 0.500 0.000
```

=====

Density functional theory data (PBE-GGA) for an optimized crystal structure of BeAlZn2.

Calculated formation energy   0.179 eV/atom
Symmetry   I-4m2 (119)
ΔE to the lowest computed polymorph   52 meV per atom

```
data_BeAlZn2
_chemical_formula_sum 'Be1 Al1 Zn2'
_cell_length_a 4.666
_cell_length_b 4.666
_cell_length_c 4.666
_cell_angle_alpha 131.65
_cell_angle_beta 131.65
_cell_angle_gamma 70.79
_symmetry_space_group_name_H-M 'P 1'
_symmetry_Int_Tables_number 1
loop_
_symmetry_equiv_pos_as_xyz
'x,y,z'
loop_
_atom_site_label
_atom_site_fract_x
_atom_site_fract_y
_atom_site_fract_z
Be1 0.000 0.000 0.000
Al1 0.750 0.250 0.500
Zn1 0.250 0.750 0.500
Zn2 0.500 0.500 0.000
```

=====

Density functional theory data (PBE-GGA) for an optimized crystal structure of BeAlZn2.

Calculated formation energy   0.157 eV/atom
Symmetry   Immm (71)
ΔE to the lowest computed polymorph   30 meV per atom

```
data_BeAlZn2
_chemical_formula_sum 'Be1 Al1 Zn2'
_cell_length_a 5.925
_cell_length_b 5.925
_cell_length_c 5.925
_cell_angle_alpha 154.97
_cell_angle_beta 138.77
_cell_angle_gamma 48.84
_symmetry_space_group_name_H-M 'P 1'
_symmetry_Int_Tables_number 1
loop_
_symmetry_equiv_pos_as_xyz
'x,y,z'
loop_
_atom_site_label
_atom_site_fract_x
_atom_site_fract_y
_atom_site_fract_z
Be1 0.000 0.000 0.000
Al1 0.500 0.500 0.000
Zn1 0.198 0.698 0.500
Zn2 0.802 0.302 0.500
```

=====

Density functional theory data (PBE-GGA) for an optimized crystal structure of BeAl2Zn.

Calculated formation energy   0.121 eV/atom
Symmetry   R-3m (166)
ΔE to the lowest computed polymorph   4 meV per atom

```
data_BeAl2Zn
_chemical_formula_sum 'Be1 Al2 Zn1'
_cell_length_a 8.383
_cell_length_b 8.383
_cell_length_c 8.383
_cell_angle_alpha 19.55
_cell_angle_beta 19.55
_cell_angle_gamma 19.55
_symmetry_space_group_name_H-M 'P 1'
_symmetry_Int_Tables_number 1
loop_
_symmetry_equiv_pos_as_xyz
'x,y,z'
loop_
_atom_site_label
_atom_site_fract_x
_atom_site_fract_y
_atom_site_fract_z
Be1 0.000 0.000 0.000
Al1 0.256 0.256 0.256
Al2 0.744 0.744 0.744
Zn1 0.500 0.500 0.500
```

=====

Density functional theory data (PBE-GGA) for an optimized crystal structure of Be2AlZn.

Calculated formation energy   0.255 eV/atom
Symmetry   P4/mmm (123)
ΔE to the lowest computed polymorph   79 meV per atom

```
data_Be2AlZn
_chemical_formula_sum 'Be2 Al1 Zn1'
_cell_length_a 3.674
_cell_length_b 3.674
_cell_length_c 3.614
_cell_angle_alpha 90.00
_cell_angle_beta 90.00
_cell_angle_gamma 90.00
_symmetry_space_group_name_H-M 'P 1'
_symmetry_Int_Tables_number 1
loop_
_symmetry_equiv_pos_as_xyz
'x,y,z'
loop_
_atom_site_label
_atom_site_fract_x
_atom_site_fract_y
_atom_site_fract_z
Be1 0.000 0.500 0.000
Be2 0.500 0.000 0.000
Al1 0.000 0.000 0.500
Zn1 0.500 0.500 0.500
```

=====

Density functional theory data (PBE-GGA) for an optimized crystal structure of BeAlZn2.

Calculated formation energy   0.358 eV/atom
Symmetry   I-42d (122)
ΔE to the lowest computed polymorph   231 meV per atom

```
data_BeAlZn2
_chemical_formula_sum 'Be2 Al2 Zn4'
_cell_length_a 5.681
_cell_length_b 5.681
_cell_length_c 5.681
_cell_angle_alpha 99.67
_cell_angle_beta 99.67
_cell_angle_gamma 131.61
_symmetry_space_group_name_H-M 'P 1'
_symmetry_Int_Tables_number 1
loop_
_symmetry_equiv_pos_as_xyz
'x,y,z'
loop_
_atom_site_label
_atom_site_fract_x
_atom_site_fract_y
_atom_site_fract_z
Be1 0.000 0.000 0.000
Be2 0.750 0.250 0.500
Al1 0.250 0.750 0.500
Al2 0.500 0.500 0.000
Zn1 0.056 0.625 0.931
Zn2 0.375 0.306 0.431
Zn3 0.694 0.125 0.069
Zn4 0.875 0.944 0.569
```

=====

Density functional theory data (PBE-GGA) for an optimized crystal structure of Be2AlZn.

Calculated formation energy   0.349 eV/atom
Symmetry   Fm-3m (225)
ΔE to the lowest computed polymorph   173 meV per atom

```
data_Be2AlZn
_chemical_formula_sum 'Be2 Al1 Zn1'
_cell_length_a 4.091
_cell_length_b 4.091
_cell_length_c 4.091
_cell_angle_alpha 60.00
_cell_angle_beta 60.00
_cell_angle_gamma 60.00
_symmetry_space_group_name_H-M 'P 1'
_symmetry_Int_Tables_number 1
loop_
_symmetry_equiv_pos_as_xyz
'x,y,z'
loop_
_atom_site_label
_atom_site_fract_x
_atom_site_fract_y
_atom_site_fract_z
Be1 0.250 0.250 0.250
Be2 0.750 0.750 0.750
Al1 0.000 0.000 0.000
Zn1 0.500 0.500 0.500
```

=====

Density functional theory data (PBE-GGA) for an optimized crystal structure of BeAlZn2.

Calculated formation energy   0.158 eV/atom
Symmetry   Pmm2 (25)
ΔE to the lowest computed polymorph   31 meV per atom

```
data_BeAlZn2
_chemical_formula_sum 'Be1 Al1 Zn2'
_cell_length_a 2.725
_cell_length_b 3.757
_cell_length_c 5.410
_cell_angle_alpha 90.00
_cell_angle_beta 90.00
_cell_angle_gamma 90.00
_symmetry_space_group_name_H-M 'P 1'
_symmetry_Int_Tables_number 1
loop_
_symmetry_equiv_pos_as_xyz
'x,y,z'
loop_
_atom_site_label
_atom_site_fract_x
_atom_site_fract_y
_atom_site_fract_z
Be1 0.000 0.000 0.000
Al1 0.500 0.500 0.767
Zn1 0.000 0.000 0.499
Zn2 0.500 0.500 0.239
```

=====

Density functional theory data (PBE-GGA) for an optimized crystal structure of BeAl2Zn2.

Calculated formation energy   0.238 eV/atom
Symmetry   P4/mbm (127)
ΔE to the lowest computed polymorph   0 meV per atom

```
data_BeAl2Zn2
_chemical_formula_sum 'Be2 Al4 Zn4'
_cell_length_a 6.192
_cell_length_b 6.192
_cell_length_c 3.946
_cell_angle_alpha 90.00
_cell_angle_beta 90.00
_cell_angle_gamma 90.00
_symmetry_space_group_name_H-M 'P 1'
_symmetry_Int_Tables_number 1
loop_
_symmetry_equiv_pos_as_xyz
'x,y,z'
loop_
_atom_site_label
_atom_site_fract_x
_atom_site_fract_y
_atom_site_fract_z
Be1 0.000 0.000 0.000
Be2 0.500 0.500 0.000
Al1 0.162 0.338 0.500
Al2 0.338 0.838 0.500
Al3 0.662 0.162 0.500
Al4 0.838 0.662 0.500
Zn1 0.148 0.648 0.000
Zn2 0.352 0.148 0.000
Zn3 0.648 0.852 0.000
Zn4 0.852 0.352 0.000
```